# VMoRuPt (GGA-PBE, optimized geometry)
# D(E_F): 3.528 states/eV per cell
# Magnetization: 0.0 μB/f.u.
# Formation energy: -0.2908 eV/atom
# DFT total energy: -9.107 eV per atom
data_VMoRuPt
_chemical_formula_sum 'V1 Mo1 Ru1 Pt1'
_cell_length_a 3.8258
_cell_length_b 3.8510
_cell_length_c 3.9572
_cell_angle_alpha 90.00
_cell_angle_beta 90.00
_cell_angle_gamma 90.00
_space_group_name_H-M_alt 'P m m m'
_space_group_IT_number 47
_space_group_name_Hall '-P 2 2'
loop_
_atom_site_label
_atom_site_fract_x
_atom_site_fract_y
_atom_site_fract_z
_atom_site_occupancy
V1 0.0000 0.0000 0.0000 1
Mo1 0.5000 0.0000 0.5000 1
Ru1 0.0000 0.5000 0.5000 1
Pt1 0.5000 0.5000 0.0000 1